This record from Alexandria describes a relaxed YNbAs2Se crystal. The functional is PBE.

```
data_YNbAs2Se
_symmetry_space_group_name_H-M 'P 4/m m m'
_symmetry_Int_Tables_number 123
_symmetry_space_group_name_Hall '-P 4 2'
_cell_length_a 4.973
_cell_length_b 4.973
_cell_length_c 5.062
_cell_angle_alpha 90.00
_cell_angle_beta 90.00
_cell_angle_gamma 90.00
loop_
_atom_site_label
_atom_site_fract_x
_atom_site_fract_y
_atom_site_fract_z
_atom_site_occupancy
Y1 0.000 0.000 0.000 1
Nb1 0.500 0.500 0.500 1
As1 0.000 0.500 0.500 1
Se1 0.500 0.500 0.000 1
```

Results
For the total magnetic moment, the calculation gives 0.00 μB/f.u. The energy above the most stable polymorph in this dataset is 0.000 eV/atom. Its formation energy without anion corrections is -32.5 kJ/mol of atoms.